Sr6Zn2Hg | PBE-GGA | relaxed

Lattice parameters (Å, degrees): 9.696 9.696 9.696 111.73 108.74 107.97
Element x y z (fractional)
Sr 0.058 0.247 0.811
Sr 0.169 0.478 0.308
Sr 0.169 0.861 0.692
Sr 0.325 0.235 0.560
Sr 0.325 0.765 0.091
Sr 0.436 0.247 0.189
Sr 0.564 0.753 0.811
Sr 0.675 0.235 0.909
Sr 0.675 0.765 0.440
Sr 0.831 0.139 0.308
Sr 0.831 0.522 0.692
Sr 0.942 0.753 0.189
Zn 0.158 0.500 0.658
Zn 0.389 0.889 0.500
Zn 0.611 0.111 0.500
Zn 0.842 0.500 0.342
Hg 0.000 0.000 0.000
Hg 0.500 0.500 0.000

Results
As for the total moment: 0.002 μB/f.u. The density of states at the Fermi level is 23.373 states/eV/cell. Its formation enthalpy at 0 K is -0.185 eV/atom.